! CdAg12Pd6 PBE relaxed; values from VASP
&SYSTEM
  ibrav = 0, nat = 19, ntyp = 3
/
ATOMIC_SPECIES
Ag 107.87 Ag.upf
Pd 106.42 Pd.upf
Cd 112.41 Cd.upf
ATOMIC_POSITIONS crystal
Ag 0.500 0.886 0.114
Ag 0.500 0.114 0.886
Ag 0.102 0.343 0.343
Ag 0.657 0.898 0.657
Ag 0.343 0.343 0.102
Ag 0.886 0.114 0.500
Ag 0.114 0.886 0.500
Ag 0.343 0.102 0.343
Ag 0.114 0.500 0.886
Ag 0.898 0.657 0.657
Ag 0.657 0.657 0.898
Ag 0.886 0.500 0.114
Pd 0.695 0.311 0.311
Pd 0.311 0.695 0.311
Pd 0.311 0.311 0.695
Pd 0.689 0.305 0.689
Pd 0.689 0.689 0.305
Pd 0.305 0.689 0.689
Cd 0.000 0.000 0.000
CELL_PARAMETERS angstrom
7.577 -0.177 -0.249
-2.049 7.296 -0.249
-2.049 -2.640 6.807
! Theoretical density, g/cm3: 9.34
! DFT formation energy, eV/atom: 0.156